(1)
First-principles (PBE) data for a relaxed structure of CoAsCl4, as listed in the Alexandria database.

abc: 5.7435 5.7435 5.7435
angles: 60.00 60.00 60.00
Fractional positions:
Co 0.0000 0.0000 0.0000
As 0.7500 0.7500 0.7500
Cl 0.3742 0.3742 0.3742
Cl 0.3742 0.3742 0.8773
Cl 0.3742 0.8773 0.3742
Cl 0.8773 0.3742 0.3742


(2)
First-principles (PBE) data for a relaxed structure of CoAsCl2, as listed in the Alexandria database.

abc: 4.6435 4.6435 4.6435
angles: 120.78 120.78 88.66
Fractional positions:
Co 0.0000 0.0000 0.0000
As 0.2500 0.7500 0.5000
Cl 0.5000 0.5000 0.0000
Cl 0.7500 0.2500 0.5000

## Properties
Polymorph energy (0 for the lowest one): 1.094 eV/atom


(3)
First-principles (PBE) data for a relaxed structure of CoAsCl2, as listed in the Alexandria database.

abc: 3.0891 3.0891 8.2065
angles: 90.00 90.00 90.00
Fractional positions:
Co 0.0000 0.0000 0.0000
As 0.5000 0.5000 0.1747
Cl 0.0000 0.0000 0.4022
Cl 0.5000 0.5000 0.8283

## Properties
Polymorph energy (0 for the lowest one): 0.563 eV/atom


(4)
First-principles (PBE) data for a relaxed structure of CoAs2Cl, as listed in the Alexandria database.

abc: 3.6101 3.6101 6.2355
angles: 90.00 90.00 90.00
Fractional positions:
Co 0.0000 0.0000 0.0000
As 0.0000 0.5000 0.5000
As 0.5000 0.0000 0.5000
Cl 0.5000 0.5000 0.0000

## Properties
Polymorph energy (0 for the lowest one): 0.678 eV/atom


Energy relative to the elements, uncorrected list, top to bottom, in eV per atom: 1.151 0.634 0.103 0.477
Theoretical density list, top to bottom, in g/cm3: 3.417 4.861 4.342 4.990
Size of the total moment list, top to bottom, in μB/f.u.: 3.74 0.68 1.45 2.20